Entry 1:
BeBOs2Pt: optimized geometry, GGA-PBE.

## Properties
magnetization: 0.000 μB per formula unit
energy of formation from the pure elements: 977 meV/atom
symmetry: P4/mmm, No. 123
crystal system: tetragonal
DOS at the Fermi energy: 3.87 states/eV/f.u.

Cell lengths 4.263, 4.263, 3.431 Å; angles 90.00, 90.00, 90.00 degrees
Positions (direct):
Be (0.000, 0.000, 0.000)
B (0.000, 0.000, 0.500)
Os (0.000, 0.500, 0.000)
Os (0.500, 0.000, 0.000)
Pt (0.500, 0.500, 0.500)


Entry 2:
PuBeBOs: optimized geometry, GGA-PBE.

## Properties
magnetization: 5.416 μB per formula unit
energy of formation from the pure elements: -33 meV/atom
symmetry: R3m, No. 160
crystal system: trigonal
DOS at the Fermi energy: 9.76 states/eV/f.u.

Cell lengths 5.233, 5.233, 5.233 Å; angles 42.20, 42.20, 42.20 degrees
Positions (direct):
Pu (0.000, 0.000, 0.000)
Be (0.801, 0.801, 0.801)
B (0.192, 0.192, 0.192)
Os (0.518, 0.518, 0.518)